Entry from Alexandria: crystalline CdW3 at its relaxed geometry (PBE-GGA).

Values from the calculation:
Energy relative to the elements in kJ/mol of atoms: 53.8
Space group: Pmmm (47)
Crystal system: orthorhombic
Energy above the lowest structure with this stoichiometry in meV/atom: 243
Magnetization in Bohr magnetons per cell: 0.0

Cell lengths 2.698, 4.437, 5.690 Å; angles 90.00, 90.00, 90.00 degrees
Sites, in units of the cell vectors:
Cd 0.000 0.000 0.000
W 0.000 0.000 0.500
W 0.500 0.500 0.740
W 0.500 0.500 0.260